1.
Computed, not measured: crystalline Cs2BaFeBr6 at its relaxed geometry at the GGA-PBE level of DFT.

The structure in POSCAR format:
```
Cs2BaFeBr6
1.0
8.169 0.000 0.000
0.000 8.181 0.000
-8.079 0.000 11.579
Cs Ba Fe Br
4 2 2 12
direct
0.240 0.034 0.248
0.240 0.466 0.748
0.760 0.534 0.252
0.760 0.966 0.752
0.500 0.000 0.000
0.500 0.500 0.500
0.000 0.000 0.500
0.000 0.500 0.000
0.167 0.241 0.972
0.167 0.259 0.472
0.230 0.696 0.973
0.230 0.804 0.473
0.278 0.006 0.726
0.278 0.494 0.226
0.722 0.506 0.774
0.722 0.994 0.274
0.770 0.196 0.527
0.770 0.304 0.027
0.833 0.741 0.528
0.833 0.759 0.028
```

Calculated values
- E_tot (eV/atom) = -3.677
- E_form (uncorrected) (meV/atom) = -1464
- crystal system = monoclinic
- DOS(E_F) (states/eV/cell) = 14.01
- space group = No. 14
- relative energy among the computed polymorphs (meV per atom) = 0.0
- size of the total moment (μB per formula unit) = 4.000

---

2.
Computed, not measured: crystalline Cs2BaFeBr6 at its relaxed geometry at the GGA-PBE level of DFT.

The structure in POSCAR format:
```
Cs2BaFeBr6
1.0
0.000 5.802 5.802
5.802 0.000 5.802
5.802 5.802 0.000
Cs Ba Fe Br
2 1 1 6
direct
0.250 0.250 0.250
0.750 0.750 0.750
0.000 0.000 0.000
0.500 0.500 0.500
0.273 0.273 0.727
0.273 0.727 0.273
0.273 0.727 0.727
0.727 0.273 0.273
0.727 0.273 0.727
0.727 0.727 0.273
```

Calculated values
- E_tot (eV/atom) = -3.669
- E_form (uncorrected) (meV/atom) = -1456
- crystal system = cubic
- DOS(E_F) (states/eV/cell) = 20.29
- space group = No. 225
- relative energy among the computed polymorphs (meV per atom) = 8.3
- size of the total moment (μB per formula unit) = 4.000